No. 1
## TlCoSi (meta-GGA SCAN)

Data for a PBEsol-optimized structure of TlCoSi.

Geometry as extended XYZ:
```
3
Lattice="-2.634 -1.282 0.947 1.592 -1.277 -2.306 3.040 -3.332 3.943" Properties=species:S:1:pos:R:3 pbc="T T T"
Co 2.912 -3.192 3.778
Si 2.402 -3.710 1.657
Tl -0.277 -2.320 1.093
```

Values from the calculation:
Total magnetic moment: 0.00 μB/cell
Fermi-level density of states: 0.5539 states/eV/atom
Raw total energy: -32.80 eV per atom
E_form (uncorrected): 1.3 eV per formula unit
Space group: No. 156

No. 2
## TmCoSi (meta-GGA SCAN)

Data for a PBEsol-optimized structure of TmCoSi.

Geometry as extended XYZ:
```
12
Lattice="4.100 0.000 0.000 0.000 6.721 0.000 0.000 0.000 6.747" Properties=species:S:1:pos:R:3 pbc="T T T"
Si 1.025 2.041 4.100
Si 3.075 4.680 2.647
Si 3.075 1.320 0.726
Si 1.025 5.401 6.021
Tm 3.075 0.115 4.642
Tm 1.025 6.606 2.106
Tm 1.025 3.246 1.268
Tm 3.075 3.476 5.479
Co 1.025 0.987 6.308
Co 1.025 4.348 3.813
Co 3.075 2.374 2.934
Co 3.075 5.734 0.440
```

Values from the calculation:
Total magnetic moment: 0.00 μB/cell
Fermi-level density of states: 0.4619 states/eV/atom
Raw total energy: -27.10 eV per atom
E_form (uncorrected): -2.2 eV per formula unit
Space group: No. 62

No. 3
## Tm5Co4Si14 (meta-GGA SCAN)

Data for a PBEsol-optimized structure of Tm5Co4Si14.

Geometry as extended XYZ:
```
46
Lattice="-0.979 -7.375 1.748 5.707 0.461 5.141 -7.665 4.877 8.072" Properties=species:S:1:pos:R:3 pbc="T T T"
Si -1.326 -0.395 10.407
Si 1.512 -6.028 4.617
Si 0.593 0.366 8.902
Si -2.575 1.549 8.547
Si -0.843 -3.398 8.924
Si -4.946 0.318 11.226
Si -3.531 -2.403 6.059
Si -1.094 3.271 9.300
Si -0.278 -1.914 11.931
Si 1.489 -1.480 7.381
Si -1.843 -5.308 5.662
Si -1.330 -6.272 2.044
Si -2.094 1.361 6.038
Si -2.659 -0.123 3.031
Si -2.089 0.534 13.786
Si 2.008 -2.354 3.736
Si -4.450 3.992 10.345
Si -4.427 -0.556 7.581
Si 0.244 0.453 5.518
Si -1.611 -1.641 4.555
Si -3.677 3.152 6.941
Si 2.539 -3.009 8.900
Si -0.362 -3.585 6.415
Si -5.476 0.972 6.062
Si -3.181 -2.490 9.444
Si -0.848 -2.571 1.176
Si 0.739 -5.189 8.021
Si -1.607 4.235 12.918
Tm 2.592 -3.866 6.094
Tm -2.673 2.040 11.444
Tm -3.833 2.439 4.036
Tm 0.246 -0.388 2.662
Tm -0.264 -4.077 3.518
Tm -1.469 -1.018 7.481
Tm 3.095 -0.177 5.232
Tm -3.183 -1.649 12.300
Tm -5.530 1.829 8.868
Tm -6.033 -1.859 9.730
Co -5.807 3.207 6.162
Co 0.508 -1.787 5.358
Co 2.869 -5.244 8.800
Co -3.481 -0.256 5.339
Co -0.382 1.792 7.474
Co -2.556 -3.829 7.488
Co 0.544 -1.781 9.623
Co -3.446 -0.250 9.604
```

Values from the calculation:
Total magnetic moment: 0.01 μB/cell
Fermi-level density of states: 0.3630 states/eV/atom
Raw total energy: -21.00 eV per atom
E_form (uncorrected): -14.3 eV per formula unit
Space group: No. 14

No. 4
## TmCo2Si2 (meta-GGA SCAN)

Data for a PBEsol-optimized structure of TmCo2Si2.

Geometry as extended XYZ:
```
5
Lattice="-3.160 0.421 2.079 -2.013 -1.771 -2.701 3.429 -3.535 2.444" Properties=species:S:1:pos:R:3 pbc="T T T"
Si -2.373 -1.745 0.231
Si 0.628 -3.140 1.591
Co -1.159 -1.895 2.106
Co -0.585 -2.991 -0.284
Tm 0.000 0.000 0.000
```

Values from the calculation:
Total magnetic moment: 0.00 μB/cell
Fermi-level density of states: 0.3362 states/eV/atom
Raw total energy: -22.09 eV per atom
E_form (uncorrected): -4.0 eV per formula unit
Space group: No. 139

No. 5
## Co6SiW (meta-GGA SCAN)

Data for a PBEsol-optimized structure of Co6SiW.

Geometry as extended XYZ:
```
32
Lattice="-4.301 2.084 -3.711 -2.400 -3.925 3.931 -1.830 7.411 6.282" Properties=species:S:1:pos:R:3 pbc="T T T"
Si -3.804 1.328 5.105
Si -4.726 4.243 1.397
Si -1.363 5.521 4.680
Si -0.467 1.890 1.602
Co -3.350 -0.920 0.110
Co -1.639 -0.250 1.798
Co -5.505 0.653 3.496
Co -5.528 0.297 0.021
Co -4.292 2.471 -0.215
Co -3.337 -0.548 3.625
Co -2.547 3.408 4.926
Co -5.058 -1.189 1.910
Co -4.238 3.100 6.717
Co -2.109 1.236 -0.091
Co -2.098 1.589 3.385
Co -3.473 6.760 4.592
Co -6.422 4.335 6.593
Co -4.265 2.785 3.251
Co -3.003 5.274 6.481
Co -5.954 2.472 5.038
Co -6.432 3.982 3.117
Co 0.000 0.000 0.000
Co -0.915 3.706 3.141
Co -5.193 6.119 2.877
Co -6.892 5.820 4.704
Co -2.576 3.099 1.464
Co -5.983 2.163 1.576
Co -3.025 4.917 3.006
W -3.814 0.959 1.703
W -2.887 -2.386 1.973
W -3.814 0.545 -1.754
W -4.716 4.612 4.800
```

Values from the calculation:
Total magnetic moment: 0.00 μB/cell
Fermi-level density of states: 0.5177 states/eV/atom
Raw total energy: -22.95 eV per atom
E_form (uncorrected): 0.0 eV per formula unit
Space group: No. 65

No. 6
## CoSi2W (meta-GGA SCAN)

Data for a PBEsol-optimized structure of CoSi2W.

Geometry as extended XYZ:
```
4
Lattice="-1.894 2.547 2.699 -3.593 -1.142 1.772 -0.110 -0.966 4.051" Properties=species:S:1:pos:R:3 pbc="T T T"
W -4.198 0.329 6.392
Si 0.000 0.000 0.000
Si -1.399 0.110 2.131
Co -2.799 0.219 4.261
```

Values from the calculation:
Total magnetic moment: 0.94 μB/cell
Fermi-level density of states: 0.7212 states/eV/atom
Raw total energy: -26.35 eV per atom
E_form (uncorrected): 1.6 eV per formula unit
Space group: No. 216

No. 7
## Co2SiW (meta-GGA SCAN)

Data for a PBEsol-optimized structure of Co2SiW.

Geometry as extended XYZ:
```
4
Lattice="-1.987 1.679 -0.555 0.435 -0.345 -2.601 -4.165 -4.944 -0.041" Properties=species:S:1:pos:R:3 pbc="T T T"
W -2.859 -1.805 -1.599
Co -0.871 -1.033 -0.009
Co -3.295 -3.910 -0.032
Si -0.776 0.667 -1.578
```

Values from the calculation:
Total magnetic moment: 1.02 μB/cell
Fermi-level density of states: 0.4749 states/eV/atom
Raw total energy: -28.81 eV per atom
E_form (uncorrected): -0.9 eV per formula unit
Space group: No. 123

No. 8
## YCoSi4 (meta-GGA SCAN)

Data for a PBEsol-optimized structure of YCoSi4.

Geometry as extended XYZ:
```
6
Lattice="5.049 0.000 0.000 2.524 4.372 0.000 2.524 1.457 4.122" Properties=species:S:1:pos:R:3 pbc="T T T"
Co 0.000 0.000 0.000
Si 3.767 2.175 1.538
Si 5.049 4.395 1.538
Si 6.331 2.175 1.538
Si 5.049 2.915 3.631
Y 7.573 4.372 3.092
```

Values from the calculation:
Total magnetic moment: 1.94 μB/cell
Fermi-level density of states: 0.3016 states/eV/atom
Raw total energy: -14.12 eV per atom
E_form (uncorrected): 0.5 eV per formula unit
Space group: No. 216

Question: The highest total magnetic moment belongs to which entry?
Answer: YCoSi4

Question: Which of these has the lowest Fermi-level density of states?
Answer: YCoSi4